(1)
{"formula": "Sr2Ge4Pt3", "functional": "PBE", "state": "optimized geometry", "lattice": [[0.000, 5.212, 6.381], [2.847, 0.000, 6.381], [2.847, 5.212, 0.000]], "species": ["Sr", "Sr", "Ge", "Ge", "Ge", "Ge", "Pt", "Pt", "Pt"], "fractional_positions": [[0.136, 0.136, 0.864], [0.864, 0.864, 0.136], [0.171, 0.517, 0.483], [0.483, 0.829, 0.171], [0.517, 0.171, 0.829], [0.829, 0.483, 0.517], [0.000, 0.000, 0.500], [0.500, 0.500, 0.000], [0.500, 0.500, 0.500]], "spacegroup": "Fmmm (69)", "magmom_total_mub_per_cell": 0.00, "delta_e_f_ev_per_fu": -5.4, "volume_a3_per_cell": 189.4, "density_g_cm3": 9.2, "dos_at_fermi_per_ev_cell": 4.7}

***

(2)
{"formula": "Sr3Ge4Pt2", "functional": "PBE", "state": "optimized geometry", "lattice": [[5.804, -2.196, 0.000], [5.804, 2.196, 0.000], [-2.847, 0.000, 8.550]], "species": ["Sr", "Sr", "Sr", "Ge", "Ge", "Ge", "Ge", "Pt", "Pt"], "fractional_positions": [[0.000, 0.000, 0.000], [0.388, 0.388, 0.312], [0.612, 0.612, 0.688], [0.135, 0.135, 0.425], [0.281, 0.281, 0.935], [0.719, 0.719, 0.065], [0.865, 0.865, 0.575], [0.327, 0.327, 0.685], [0.673, 0.673, 0.315]], "spacegroup": "C2/m (12)", "magmom_total_mub_per_cell": 0.00, "delta_e_f_ev_per_fu": -6.7, "volume_a3_per_cell": 217.9, "density_g_cm3": 7.2, "dos_at_fermi_per_ev_cell": 4.6, "polymorph_energy_mev_per_atom": 41}

***

(3)
{"formula": "SrGePt3", "functional": "PBE", "state": "optimized geometry", "lattice": [[-2.106, 2.106, 5.582], [2.106, -2.106, 5.582], [2.106, 2.106, -5.582]], "species": ["Sr", "Ge", "Pt", "Pt", "Pt"], "fractional_positions": [[0.000, 0.000, 0.000], [0.634, 0.634, 0.000], [0.253, 0.753, 0.500], [0.420, 0.420, 0.000], [0.753, 0.253, 0.500]], "spacegroup": "I4mm (107)", "magmom_total_mub_per_cell": 0.00, "delta_e_f_ev_per_fu": -3.8, "volume_a3_per_cell": 99.1, "density_g_cm3": 12.5, "dos_at_fermi_per_ev_cell": 1.5, "polymorph_energy_mev_per_atom": 0}